#w
! Ca2SmLu | Alexandria via LeMat-Bulk | PBE-GGA | optimized geometry; values from VASP
! Total magnetization: 1.174 μB/f.u.
! Crystal system: tetragonal
&SYSTEM
  ibrav = 0, nat = 4, ntyp = 3
/
ATOMIC_SPECIES
Ca 40.08 Ca.upf
Sm 150.36 Sm.upf
Lu 174.97 Lu.upf
CELL_PARAMETERS angstrom
5.510 0.000 0.000
0.000 5.091 0.000
0.000 0.000 5.091
ATOMIC_POSITIONS crystal
Ca 0.000 0.500 0.000
Ca 0.000 0.000 0.500
Sm 0.500 0.000 0.000
Lu 0.500 0.500 0.500



#x
! Ca2SmLu | Alexandria via LeMat-Bulk | PBE-GGA | optimized geometry; values from VASP
! Total magnetization: 0.000 μB/f.u.
! Crystal system: tetragonal
&SYSTEM
  ibrav = 0, nat = 4, ntyp = 3
/
ATOMIC_SPECIES
Sm 150.36 Sm.upf
Ca 40.08 Ca.upf
Lu 174.97 Lu.upf
CELL_PARAMETERS angstrom
4.118 0.000 0.000
0.000 4.118 0.000
0.000 0.000 8.330
ATOMIC_POSITIONS crystal
Sm 0.500 0.500 0.500
Ca 0.000 0.000 0.243
Ca 0.000 0.000 0.757
Lu 0.500 0.500 0.000



#y
! Ca2SmLu | Alexandria via LeMat-Bulk | PBE-GGA | optimized geometry; values from VASP
! Total magnetization: 0.468 μB/f.u.
! Crystal system: trigonal
&SYSTEM
  ibrav = 0, nat = 4, ntyp = 3
/
ATOMIC_SPECIES
Lu 174.97 Lu.upf
Ca 40.08 Ca.upf
Sm 150.36 Sm.upf
CELL_PARAMETERS angstrom
-0.912 -3.384 0.662
1.590 -2.655 -1.772
9.401 -2.679 8.862
ATOMIC_POSITIONS crystal
Lu 0.000 0.000 0.000
Ca 0.914 0.914 0.259
Sm 0.500 0.500 0.500
Ca 0.086 0.086 0.741



It is #w that is the most stable of them.



#w
! CaLu2Sn | Alexandria via LeMat-Bulk | PBE-GGA | optimized geometry; values from VASP
! Total magnetization: 0.013 μB/f.u.
! Crystal system: tetragonal
&SYSTEM
  ibrav = 0, nat = 4, ntyp = 3
/
ATOMIC_SPECIES
Lu 174.97 Lu.upf
Ca 40.08 Ca.upf
Sn 118.71 Sn.upf
CELL_PARAMETERS angstrom
4.734 0.000 0.000
0.000 4.841 0.000
0.000 0.000 4.841
ATOMIC_POSITIONS crystal
Lu 0.000 0.500 0.000
Lu 0.000 0.000 0.500
Ca 0.500 0.500 0.500
Sn 0.500 0.000 0.000



#x
! CaLu2Sn | Alexandria via LeMat-Bulk | PBE-GGA | optimized geometry; values from VASP
! Total magnetization: 0.000 μB/f.u.
! Crystal system: trigonal
&SYSTEM
  ibrav = 0, nat = 4, ntyp = 3
/
ATOMIC_SPECIES
Ca 40.08 Ca.upf
Sn 118.71 Sn.upf
Lu 174.97 Lu.upf
CELL_PARAMETERS angstrom
3.538 0.000 0.000
1.769 3.064 0.000
1.769 1.021 11.504
ATOMIC_POSITIONS crystal
Ca 0.000 0.000 0.000
Sn 0.500 0.500 0.500
Lu 0.097 0.097 0.709
Lu 0.903 0.903 0.291



It is #w that is the most stable of them.



#w
! SrCa2Lu | Alexandria via LeMat-Bulk | PBE-GGA | optimized geometry; values from VASP
! Total magnetization: 0.450 μB/f.u.
! Crystal system: tetragonal
&SYSTEM
  ibrav = 0, nat = 4, ntyp = 3
/
ATOMIC_SPECIES
Sr 87.62 Sr.upf
Lu 174.97 Lu.upf
Ca 40.08 Ca.upf
CELL_PARAMETERS angstrom
-0.895 -1.233 -3.946
-0.906 -5.717 1.992
-5.914 1.267 0.946
ATOMIC_POSITIONS crystal
Sr 0.500 0.000 0.000
Lu 0.500 0.500 0.500
Ca 0.000 0.500 0.000
Ca 0.000 0.000 0.500



#x
! SrCa2Lu | Alexandria via LeMat-Bulk | PBE-GGA | optimized geometry; values from VASP
! Total magnetization: 0.000 μB/f.u.
! Crystal system: tetragonal
&SYSTEM
  ibrav = 0, nat = 4, ntyp = 3
/
ATOMIC_SPECIES
Sr 87.62 Sr.upf
Ca 40.08 Ca.upf
Lu 174.97 Lu.upf
CELL_PARAMETERS angstrom
-2.616 -0.678 2.902
2.749 -2.042 2.000
2.998 8.661 4.725
ATOMIC_POSITIONS crystal
Sr 0.500 0.500 0.500
Ca 0.000 0.000 0.784
Ca 0.000 0.000 0.216
Lu 0.500 0.500 0.000



It is #x that is the most stable of them.



#w
! SrCa2Lu | Alexandria via LeMat-Bulk | PBE-GGA | optimized geometry; values from VASP
! Total magnetization: 0.001 μB/f.u.
! Crystal system: cubic
&SYSTEM
  ibrav = 0, nat = 4, ntyp = 3
/
ATOMIC_SPECIES
Sr 87.62 Sr.upf
Ca 40.08 Ca.upf
Lu 174.97 Lu.upf
CELL_PARAMETERS angstrom
-2.044 -4.834 3.064
3.913 -3.638 2.898
0.179 -0.045 6.075
ATOMIC_POSITIONS crystal
Sr 0.500 0.500 0.500
Ca 0.250 0.250 0.250
Lu 0.000 0.000 0.000
Ca 0.750 0.750 0.750



#x
! SrCa2Lu | Alexandria via LeMat-Bulk | PBE-GGA | optimized geometry; values from VASP
! Total magnetization: 0.017 μB/f.u.
! Crystal system: trigonal
&SYSTEM
  ibrav = 0, nat = 4, ntyp = 3
/
ATOMIC_SPECIES
Sr 87.62 Sr.upf
Lu 174.97 Lu.upf
Ca 40.08 Ca.upf
CELL_PARAMETERS angstrom
3.739 0.000 0.000
1.869 3.238 0.000
1.869 1.079 13.496
ATOMIC_POSITIONS crystal
Sr 0.500 0.500 0.500
Lu 0.000 0.000 0.000
Ca 0.083 0.083 0.750
Ca 0.917 0.917 0.250



It is #w that is the most stable of them.



#w
! CaLu2Ti | Alexandria via LeMat-Bulk | PBE-GGA | optimized geometry; values from VASP
! Total magnetization: 0.005 μB/f.u.
! Crystal system: trigonal
&SYSTEM
  ibrav = 0, nat = 4, ntyp = 3
/
ATOMIC_SPECIES
Ca 40.08 Ca.upf
Lu 174.97 Lu.upf
Ti 47.87 Ti.upf
CELL_PARAMETERS angstrom
-1.909 -0.075 2.770
1.052 -1.673 2.724
4.917 8.944 5.675
ATOMIC_POSITIONS crystal
Ca 0.000 0.000 0.000
Lu 0.903 0.903 0.290
Lu 0.097 0.097 0.710
Ti 0.500 0.500 0.500



#x
! CaLu2Ti | Alexandria via LeMat-Bulk | PBE-GGA | optimized geometry; values from VASP
! Total magnetization: 1.776 μB/f.u.
! Crystal system: tetragonal
&SYSTEM
  ibrav = 0, nat = 4, ntyp = 3
/
ATOMIC_SPECIES
Ca 40.08 Ca.upf
Ti 47.87 Ti.upf
Lu 174.97 Lu.upf
CELL_PARAMETERS angstrom
3.617 0.000 0.000
0.000 3.617 0.000
0.000 0.000 8.884
ATOMIC_POSITIONS crystal
Ca 0.500 0.500 0.500
Ti 0.500 0.500 0.000
Lu 0.000 0.000 0.807
Lu 0.000 0.000 0.193



It is #x that is the most stable of them.



#w
! CaTmLu | Alexandria via LeMat-Bulk | PBE-GGA | optimized geometry; values from VASP
! Total magnetization: 0.000 μB/f.u.
! Crystal system: tetragonal
&SYSTEM
  ibrav = 0, nat = 3, ntyp = 3
/
ATOMIC_SPECIES
Lu 174.97 Lu.upf
Ca 40.08 Ca.upf
Tm 168.93 Tm.upf
CELL_PARAMETERS angstrom
3.585 0.000 0.000
0.000 3.585 0.000
-1.793 -1.793 7.683
ATOMIC_POSITIONS crystal
Lu 0.677 0.677 0.355
Ca 0.000 0.000 0.001
Tm 0.322 0.322 0.644



#x
! CaTmLu | Alexandria via LeMat-Bulk | PBE-GGA | optimized geometry; values from VASP
! Total magnetization: 0.594 μB/f.u.
! Crystal system: trigonal
&SYSTEM
  ibrav = 0, nat = 3, ntyp = 3
/
ATOMIC_SPECIES
Lu 174.97 Lu.upf
Tm 168.93 Tm.upf
Ca 40.08 Ca.upf
CELL_PARAMETERS angstrom
-3.121 -1.649 -0.439
2.893 -1.187 -1.695
1.872 -5.404 6.982
ATOMIC_POSITIONS crystal
Lu 0.667 0.333 0.349
Tm 0.333 0.667 0.650
Ca 0.000 0.000 0.001



It is #w that is the most stable of them.



#w
! CaY2Lu | Alexandria via LeMat-Bulk | PBE-GGA | optimized geometry; values from VASP
! Total magnetization: 0.000 μB/f.u.
! Crystal system: tetragonal
&SYSTEM
  ibrav = 0, nat = 4, ntyp = 3
/
ATOMIC_SPECIES
Lu 174.97 Lu.upf
Y 88.91 Y.upf
Ca 40.08 Ca.upf
CELL_PARAMETERS angstrom
-0.079 -4.751 -1.668
4.998 -0.453 1.053
-1.144 -1.638 4.722
ATOMIC_POSITIONS crystal
Lu 0.500 0.500 0.500
Y 0.000 0.500 0.000
Y 0.000 0.000 0.500
Ca 0.500 0.000 0.000



#x
! CaY2Lu | Alexandria via LeMat-Bulk | PBE-GGA | optimized geometry; values from VASP
! Total magnetization: 0.000 μB/f.u.
! Crystal system: trigonal
&SYSTEM
  ibrav = 0, nat = 4, ntyp = 3
/
ATOMIC_SPECIES
Y 88.91 Y.upf
Lu 174.97 Lu.upf
Ca 40.08 Ca.upf
CELL_PARAMETERS angstrom
-2.400 -2.439 -1.063
0.674 -2.048 -2.862
4.623 -9.710 5.796
ATOMIC_POSITIONS crystal
Y 0.256 0.256 0.232
Lu 0.000 0.000 0.000
Y 0.744 0.744 0.768
Ca 0.500 0.500 0.500



It is #x that is the most stable of them.



#w
! CaY2Lu | Alexandria via LeMat-Bulk | PBE-GGA | optimized geometry; values from VASP
! Total magnetization: 0.005 μB/f.u.
! Crystal system: cubic
&SYSTEM
  ibrav = 0, nat = 4, ntyp = 3
/
ATOMIC_SPECIES
Ca 40.08 Ca.upf
Lu 174.97 Lu.upf
Y 88.91 Y.upf
CELL_PARAMETERS angstrom
5.730 0.000 0.000
2.865 4.962 0.000
2.865 1.654 4.679
ATOMIC_POSITIONS crystal
Ca 0.500 0.500 0.500
Lu 0.000 0.000 0.000
Y 0.250 0.250 0.250
Y 0.750 0.750 0.750



#x
! CaY2Lu | Alexandria via LeMat-Bulk | PBE-GGA | optimized geometry; values from VASP
! Total magnetization: 0.000 μB/f.u.
! Crystal system: tetragonal
&SYSTEM
  ibrav = 0, nat = 4, ntyp = 3
/
ATOMIC_SPECIES
Y 88.91 Y.upf
Lu 174.97 Lu.upf
Ca 40.08 Ca.upf
CELL_PARAMETERS angstrom
3.940 0.000 0.000
0.000 3.940 0.000
0.000 0.000 8.862
ATOMIC_POSITIONS crystal
Y 0.000 0.000 0.214
Lu 0.500 0.500 0.000
Ca 0.500 0.500 0.500
Y 0.000 0.000 0.786



It is #x that is the most stable of them.



#w
! CaYLu | Alexandria via LeMat-Bulk | PBE-GGA | optimized geometry; values from VASP
! Total magnetization: 0.529 μB/f.u.
! Crystal system: trigonal
&SYSTEM
  ibrav = 0, nat = 3, ntyp = 3
/
ATOMIC_SPECIES
Ca 40.08 Ca.upf
Lu 174.97 Lu.upf
Y 88.91 Y.upf
CELL_PARAMETERS angstrom
-1.509 3.017 1.241
0.105 -2.939 2.067
8.015 2.636 3.341
ATOMIC_POSITIONS crystal
Ca 0.000 0.000 0.003
Lu 0.667 0.333 0.347
Y 0.333 0.667 0.650



#x
! CaYLu | Alexandria via LeMat-Bulk | PBE-GGA | optimized geometry; values from VASP
! Total magnetization: 0.000 μB/f.u.
! Crystal system: tetragonal
&SYSTEM
  ibrav = 0, nat = 3, ntyp = 3
/
ATOMIC_SPECIES
Y 88.91 Y.upf
Ca 40.08 Ca.upf
Lu 174.97 Lu.upf
CELL_PARAMETERS angstrom
-0.850 -2.778 -2.158
-1.875 -1.521 2.696
-5.003 5.895 -2.583
ATOMIC_POSITIONS crystal
Y 0.322 0.322 0.644
Ca 0.002 0.002 0.003
Lu 0.676 0.676 0.352



It is #x that is the most stable of them.



#w
! Ca4Mg | Alexandria via LeMat-Bulk | PBE-GGA | optimized geometry; values from VASP
! Total magnetization: 0.000 μB/f.u.
! Crystal system: monoclinic
&SYSTEM
  ibrav = 0, nat = 5, ntyp = 2
/
ATOMIC_SPECIES
Ca 40.08 Ca.upf
Mg 24.30 Mg.upf
CELL_PARAMETERS angstrom
0.515 -3.888 0.729
1.808 -2.978 -6.244
6.978 -0.808 1.674
ATOMIC_POSITIONS crystal
Ca 0.227 0.854 0.692
Ca 0.773 0.146 0.308
Ca 0.420 0.305 0.855
Ca 0.580 0.695 0.145
Mg 0.000 0.500 0.500



#x
! Ca4Mg | Alexandria via LeMat-Bulk | PBE-GGA | optimized geometry; values from VASP
! Total magnetization: 0.000 μB/f.u.
! Crystal system: tetragonal
&SYSTEM
  ibrav = 0, nat = 5, ntyp = 2
/
ATOMIC_SPECIES
Ca 40.08 Ca.upf
Mg 24.30 Mg.upf
CELL_PARAMETERS angstrom
-6.251 5.553 0.941
-4.843 -6.018 3.336
-4.642 0.377 4.553
ATOMIC_POSITIONS crystal
Ca 0.796 0.605 0.000
Ca 0.395 0.796 0.000
Ca 0.204 0.395 0.000
Mg 0.000 0.000 0.000
Ca 0.605 0.204 0.000



It is #w that is the most stable of them.



#w
! Ca4Mg | Alexandria via LeMat-Bulk | PBE-GGA | optimized geometry; values from VASP
! Total magnetization: 0.000 μB/f.u.
! Crystal system: tetragonal
&SYSTEM
  ibrav = 0, nat = 10, ntyp = 2
/
ATOMIC_SPECIES
Mg 24.30 Mg.upf
Ca 40.08 Ca.upf
CELL_PARAMETERS angstrom
7.139 0.000 0.000
0.000 7.139 0.000
0.000 0.000 7.686
ATOMIC_POSITIONS crystal
Mg 0.000 0.000 0.000
Mg 0.500 0.500 0.500
Ca 0.130 0.268 0.343
Ca 0.732 0.130 0.657
Ca 0.232 0.370 0.843
Ca 0.370 0.768 0.157
Ca 0.268 0.870 0.657
Ca 0.630 0.232 0.157
Ca 0.768 0.630 0.843
Ca 0.870 0.732 0.343



#x
! Ca4Mg | Alexandria via LeMat-Bulk | PBE-GGA | optimized geometry; values from VASP
! Total magnetization: 0.000 μB/f.u.
! Crystal system: cubic
&SYSTEM
  ibrav = 0, nat = 5, ntyp = 2
/
ATOMIC_SPECIES
Ca 40.08 Ca.upf
Mg 24.30 Mg.upf
CELL_PARAMETERS angstrom
5.032 -3.518 -2.350
-1.904 -2.490 5.779
-5.013 -0.238 -4.247
ATOMIC_POSITIONS crystal
Ca 0.000 0.000 0.500
Ca 0.500 0.000 0.000
Mg 0.000 0.000 0.000
Ca 0.000 0.500 0.000
Ca 0.500 0.500 0.500



It is #w that is the most stable of them.



#w
! Ca4Mg | Alexandria via LeMat-Bulk | PBE-GGA | optimized geometry; values from VASP
! Total magnetization: 0.000 μB/f.u.
! Crystal system: tetragonal
&SYSTEM
  ibrav = 0, nat = 5, ntyp = 2
/
ATOMIC_SPECIES
Ca 40.08 Ca.upf
Mg 24.30 Mg.upf
CELL_PARAMETERS angstrom
2.794 -9.322 3.145
3.515 -5.165 8.097
-6.209 6.647 -4.675
ATOMIC_POSITIONS crystal
Ca 0.250 0.750 0.500
Mg 0.000 0.000 0.000
Ca 0.591 0.591 0.000
Ca 0.750 0.250 0.500
Ca 0.409 0.409 0.000



#x
! Ca4Mg | Alexandria via LeMat-Bulk | PBE-GGA | optimized geometry; values from VASP
! Total magnetization: 0.001 μB/f.u.
! Crystal system: cubic
&SYSTEM
  ibrav = 0, nat = 5, ntyp = 2
/
ATOMIC_SPECIES
Ca 40.08 Ca.upf
Mg 24.30 Mg.upf
CELL_PARAMETERS angstrom
-1.147 1.947 -5.643
-5.029 -3.410 -0.155
-3.215 4.640 2.254
ATOMIC_POSITIONS crystal
Ca 0.000 0.500 0.500
Mg 0.500 0.500 0.500
Ca 0.000 0.000 0.000
Ca 0.500 0.000 0.500
Ca 0.500 0.500 0.000



It is #x that is the most stable of them.



#w
! CaMg4 | Alexandria via LeMat-Bulk | PBE-GGA | optimized geometry; values from VASP
! Total magnetization: 0.000 μB/f.u.
! Crystal system: tetragonal
&SYSTEM
  ibrav = 0, nat = 5, ntyp = 2
/
ATOMIC_SPECIES
Mg 24.30 Mg.upf
Ca 40.08 Ca.upf
CELL_PARAMETERS angstrom
0.630 -6.764 3.770
-0.773 -1.910 7.491
-2.987 3.800 -6.083
ATOMIC_POSITIONS crystal
Mg 0.750 0.250 0.500
Ca 0.000 0.000 0.000
Mg 0.250 0.750 0.500
Mg 0.603 0.603 0.000
Mg 0.397 0.397 0.000



#x
! CaMg4 | Alexandria via LeMat-Bulk | PBE-GGA | optimized geometry; values from VASP
! Total magnetization: 0.000 μB/f.u.
! Crystal system: tetragonal
&SYSTEM
  ibrav = 0, nat = 5, ntyp = 2
/
ATOMIC_SPECIES
Mg 24.30 Mg.upf
Ca 40.08 Ca.upf
CELL_PARAMETERS angstrom
7.174 0.000 0.000
0.000 7.174 0.000
3.587 3.587 2.536
ATOMIC_POSITIONS crystal
Mg 0.802 0.570 0.000
Ca 0.000 0.000 0.000
Mg 0.198 0.430 0.000
Mg 0.570 0.198 0.000
Mg 0.430 0.802 0.000



It is #x that is the most stable of them.



#w
! CaMg4 | Alexandria via LeMat-Bulk | PBE-GGA | optimized geometry; values from VASP
! Total magnetization: 0.000 μB/f.u.
! Crystal system: cubic
&SYSTEM
  ibrav = 0, nat = 5, ntyp = 2
/
ATOMIC_SPECIES
Mg 24.30 Mg.upf
Ca 40.08 Ca.upf
CELL_PARAMETERS angstrom
2.522 -0.248 5.812
1.742 5.399 -2.831
-6.322 -0.217 0.429
ATOMIC_POSITIONS crystal
Mg 0.500 0.500 0.500
Ca 0.000 0.000 0.000
Mg 0.500 0.000 0.000
Mg 0.000 0.000 0.500
Mg 0.000 0.500 0.000



#x
! CaMg4 | Alexandria via LeMat-Bulk | PBE-GGA | optimized geometry; values from VASP
! Total magnetization: 0.000 μB/f.u.
! Crystal system: triclinic
&SYSTEM
  ibrav = 0, nat = 5, ntyp = 2
/
ATOMIC_SPECIES
Mg 24.30 Mg.upf
Ca 40.08 Ca.upf
CELL_PARAMETERS angstrom
3.408 -0.006 -0.861
-0.441 4.869 -1.735
0.142 0.052 7.955
ATOMIC_POSITIONS crystal
Mg 0.892 0.396 0.292
Mg 0.108 0.604 0.708
Ca 0.500 0.000 0.500
Mg 0.789 0.784 0.067
Mg 0.211 0.216 0.933



It is #x that is the most stable of them.